An optimized crystal structure of MnTl2O4. Source: Alexandria via LeMat-Bulk, functional PBE+U.

Summary:
- uncorrected energy (eV per atom) = -5.506

Lattice parameters (Å, degrees): 6.319 6.629 6.629 65.77 61.54 61.54
Fractional coordinates of all 14 atoms:
O (0.232, 0.285, 0.785)
Mn (0.000, 0.500, 0.000)
Tl (0.144, 0.106, 0.606)
O (0.698, 0.285, 0.785)
Tl (0.500, 0.500, 0.500)
Tl (0.856, 0.894, 0.394)
O (0.253, 0.313, 0.180)
O (0.747, 0.687, 0.820)
Tl (0.500, 0.000, 0.000)
O (0.302, 0.715, 0.215)
O (0.253, 0.680, 0.813)
O (0.768, 0.715, 0.215)
Mn (0.500, 0.500, 0.000)
O (0.747, 0.320, 0.187)